Version i
A geometry-optimized LaTa2W structure. Source: the Alexandria database, functional PBE-GGA.

Calculated values
Total moment   0.0 μB/cell
V   165.8 Å³ per cell

Unit cell a=3.2335 b=5.2539 c=9.7605 alpha=90.00 beta=90.00 gamma=90.00
Last column: nearest neighbours and their distance in Å.
Space group Immm (No. 71)
Unique sites:
La 0.0000 0.0000 0.0000 (multiplicity 2)  4 W 3.08, 8 Ta 3.10-3.45, 2 La 3.23
Ta 0.0000 0.5000 0.2291 (multiplicity 4)  2 W 2.76
W 0.0000 0.0000 0.5000 (multiplicity 2)  4 Ta 2.76, 4 La 3.08

=====

Version ii
A geometry-optimized LaTa2W structure. Source: the Alexandria database, functional PBE-GGA.

Calculated values
Total moment   0.0 μB/cell
V   86.3 Å³ per cell

Unit cell a=3.3146 b=3.3146 c=7.8504 alpha=90.00 beta=90.00 gamma=90.00
Last column: nearest neighbours and their distance in Å.
Space group P4mm (No. 99)
Unique sites:
La 0.0000 0.0000 0.0000 (multiplicity 1)  4 W 3.30, 4 La 3.31, 4 Ta 3.45
Ta 0.0000 0.0000 0.5250 (multiplicity 1)  4 W 2.73, 4 Ta 2.83
Ta 0.5000 0.5000 0.3233 (multiplicity 1)  4 Ta 2.83, 1 W 2.99
W 0.5000 0.5000 0.7042 (multiplicity 1)  5 Ta 2.73-2.99

=====

Result of the stability comparison: version ii is the most stable of them.

=====

Version i
A geometry-optimized LaTa2W structure. Source: the Alexandria database, functional PBE-GGA.

Calculated values
Total moment   0.0 μB/cell
V   162.7 Å³ per cell

Unit cell a=3.3241 b=4.9842 c=9.8207 alpha=90.00 beta=90.00 gamma=90.00
Last column: nearest neighbours and their distance in Å.
Space group Imm2 (No. 44)
Unique sites:
La 0.0000 0.0000 0.0000 (multiplicity 2)  2 W 2.99, 6 Ta 3.01-3.03, 2 La 3.32
Ta 0.0000 0.0000 0.5330 (multiplicity 2)  2 W 2.68
Ta 0.0000 0.5000 0.7583 (multiplicity 2)  4 W 3.00, 2 La 3.03, 6 Ta 3.17-3.33
W 0.0000 0.5000 0.2467 (multiplicity 2)  6 Ta 2.68-3.00, 2 La 2.99

=====

Version ii
A geometry-optimized LaTa2W structure. Source: the Alexandria database, functional PBE-GGA.

Calculated values
Total moment   0.0 μB/cell
V   86.1 Å³ per cell

Unit cell a=3.2824 b=3.2824 c=7.9891 alpha=90.00 beta=90.00 gamma=90.00
Last column: nearest neighbours and their distance in Å.
Space group P4/mmm (No. 123)
Unique sites:
La 0.0000 0.0000 0.0000 (multiplicity 1)  4 La 3.28, 8 Ta 3.41
Ta 0.5000 0.5000 0.3129 (multiplicity 2)  4 W 2.76, 1 Ta 2.99
W 0.0000 0.0000 0.5000 (multiplicity 1)  8 Ta 2.76

=====

Version iii
A geometry-optimized LaTa2W structure. Source: the Alexandria database, functional PBE-GGA.

Calculated values
Total moment   0.0 μB/cell
V   317.5 Å³ per cell

Unit cell a=6.8220 b=6.8220 c=6.8220 alpha=90.00 beta=90.00 gamma=90.00
Last column: nearest neighbours and their distance in Å.
Space group Fm-3m (No. 225)
Unique sites:
La 0.0000 0.0000 0.0000 (multiplicity 4)  8 Ta 2.95
Ta 0.2500 0.2500 0.2500 (multiplicity 8)  4 La 2.95, 4 W 2.95
W 0.0000 0.0000 0.5000 (multiplicity 4)  8 Ta 2.95

=====

Version iv
A geometry-optimized LaTa2W structure. Source: the Alexandria database, functional PBE-GGA.

Calculated values
Total moment   0.0 μB/cell
V   362.3 Å³ per cell

Unit cell a=7.8861 b=7.8861 c=5.8259 alpha=90.00 beta=90.00 gamma=90.00
Last column: nearest neighbours and their distance in Å.
Space group I-42d (No. 122)
Unique sites:
La 0.0000 0.0000 0.0000 (multiplicity 4)  2 W 2.91, 4 Ta 3.13
Ta 0.2057 0.2500 0.6250 (multiplicity 8)  2 W 2.65
W 0.0000 0.0000 0.5000 (multiplicity 4)  4 Ta 2.65, 2 La 2.91

=====

Result of the stability comparison: version ii is the most stable of them.

=====

Version i
A geometry-optimized LaTa2W2 structure. Source: the Alexandria database, functional PBE-GGA.

Calculated values
Total moment   0.0 μB/cell
V   205.5 Å³ per cell

Unit cell a=8.3829 b=8.3829 c=2.9242 alpha=90.00 beta=90.00 gamma=90.00
Last column: nearest neighbours and their distance in Å.
Space group P4/mbm (No. 127)
Unique sites:
La 0.0000 0.0000 0.0000 (multiplicity 2)  2 La 2.92, 4 W 3.19
Ta 0.1402 0.3598 0.5000 (multiplicity 4)  6 W 2.85-2.87, 2 Ta 2.92
W 0.1513 0.6513 0.0000 (multiplicity 4)  6 Ta 2.85-2.87, 2 W 2.92, 2 La 3.19

=====

Version ii
A geometry-optimized LaTa2W2 structure. Source: the Alexandria database, functional PBE-GGA.

Calculated values
Total moment   0.0 μB/cell
V   220.2 Å³ per cell

Unit cell a=4.3521 b=4.3521 c=11.6248 alpha=90.00 beta=90.00 gamma=90.00
Last column: nearest neighbours and their distance in Å.
Space group I4/mmm (No. 139)
Unique sites:
La 0.0000 0.0000 0.0000 (multiplicity 2)  8 W 3.35, 8 Ta 3.63
Ta 0.0000 0.5000 0.2500 (multiplicity 4)  4 W 2.69
W 0.0000 0.0000 0.3859 (multiplicity 4)  1 W 2.65, 4 Ta 2.69

=====

Result of the stability comparison: version ii is the most stable of them.